Compound: Rb2TiInBr6
Source: the Alexandria database
Functional: PBE
Structure: optimized geometry

## Properties
- formation energy from raw total energies (eV per atom) = -1.3147
- DOS(E_F) (states/eV per cell) = 13.81
- ΔE to the lowest computed polymorph (meV/atom) = 0
- crystal system = monoclinic
- final energy (eV per atom) = -3.5752

POSCAR file:
```
Rb2TiInBr6
1.0
7.8409 0.0000 0.0000
0.0000 8.2125 0.0000
-7.8418 0.0000 11.3106
Rb Ti In Br
4 2 2 12
direct
0.2249 0.0710 0.2476 Rb
0.2249 0.4290 0.7476 Rb
0.7751 0.5710 0.2524 Rb
0.7751 0.9290 0.7524 Rb
0.0000 0.0000 0.5000 Ti
0.0000 0.5000 0.0000 Ti
0.5000 0.0000 0.0000 In
0.5000 0.5000 0.5000 In
0.1251 0.2308 0.9563 Br
0.1251 0.2692 0.4563 Br
0.2314 0.6726 0.9573 Br
0.2314 0.8274 0.4573 Br
0.3087 0.0173 0.7224 Br
0.3087 0.4827 0.2224 Br
0.6913 0.5173 0.7776 Br
0.6913 0.9827 0.2776 Br
0.7686 0.1726 0.5427 Br
0.7686 0.3274 0.0427 Br
0.8749 0.7308 0.5437 Br
0.8749 0.7692 0.0437 Br
```

Compound: Rb2TlIn3Br6
Source: the Alexandria database
Functional: PBE
Structure: optimized geometry

## Properties
- formation energy from raw total energies (eV per atom) = -1.0458
- DOS(E_F) (states/eV per cell) = 0.00
- crystal system = monoclinic
- final energy (eV per atom) = -2.9253

POSCAR file:
```
Rb2TlIn3Br6
1.0
10.4811 -2.4106 0.0000
10.4811 2.4106 0.0000
-2.1530 0.0000 9.3621
Rb Tl In Br
2 1 3 6
direct
0.1663 0.1663 0.3288 Rb
0.8337 0.8337 0.6712 Rb
0.5000 0.5000 0.0000 Tl
0.1670 0.1670 0.8323 In
0.5000 0.5000 0.5000 In
0.8330 0.8330 0.1677 In
0.0027 0.0027 0.7492 Br
0.3355 0.3355 0.9271 Br
0.3370 0.3370 0.4161 Br
0.6630 0.6630 0.5839 Br
0.6645 0.6645 0.0729 Br
0.9973 0.9973 0.2508 Br
```

Compound: RbTl2In2Br6
Source: the Alexandria database
Functional: PBE
Structure: optimized geometry

## Properties
- formation energy from raw total energies (eV per atom) = -0.8652
- DOS(E_F) (states/eV per cell) = 4.10
- crystal system = monoclinic
- final energy (eV per atom) = -2.7938

POSCAR file:
```
RbTl2In2Br6
1.0
7.1220 -4.1763 0.0000
7.1220 4.1763 0.0000
-4.6110 0.0000 7.6845
Rb Tl In Br
1 2 2 6
direct
0.0000 0.0000 0.0000 Rb
0.2299 0.2299 0.6497 Tl
0.7701 0.7701 0.3503 Tl
0.4480 0.4480 0.1160 In
0.5520 0.5520 0.8840 In
0.1813 0.6606 0.6603 Br
0.2716 0.2716 0.1474 Br
0.3394 0.8187 0.3397 Br
0.6606 0.1813 0.6603 Br
0.7284 0.7284 0.8526 Br
0.8187 0.3394 0.3397 Br
```

Compound: Rb2Tl3InBr6
Source: the Alexandria database
Functional: PBE
Structure: optimized geometry

## Properties
- formation energy from raw total energies (eV per atom) = -1.1213
- DOS(E_F) (states/eV per cell) = 0.00
- crystal system = monoclinic
- final energy (eV per atom) = -2.9387

POSCAR file:
```
Rb2Tl3InBr6
1.0
10.5160 -2.4139 0.0000
10.5160 2.4139 0.0000
-2.2010 0.0000 9.3885
Rb Tl In Br
2 3 1 6
direct
0.1653 0.1653 0.3291 Rb
0.8347 0.8347 0.6709 Rb
0.1672 0.1672 0.8327 Tl
0.5000 0.5000 0.5000 Tl
0.8328 0.8328 0.1673 Tl
0.5000 0.5000 0.0000 In
0.0026 0.0026 0.7535 Br
0.3351 0.3351 0.4148 Br
0.3356 0.3356 0.9251 Br
0.6644 0.6644 0.0749 Br
0.6649 0.6649 0.5852 Br
0.9974 0.9974 0.2465 Br
```

Compound: RbTlInBr3
Source: the Alexandria database
Functional: PBE
Structure: optimized geometry

## Properties
- formation energy from raw total energies (eV per atom) = -1.0624
- DOS(E_F) (states/eV per cell) = 0.00
- crystal system = monoclinic
- final energy (eV per atom) = -2.9109

POSCAR file:
```
RbTlInBr3
1.0
8.3900 0.0000 0.0000
0.0000 4.6907 0.0000
-2.0027 0.0000 12.7603
Rb Tl In Br
2 2 2 6
direct
0.0570 0.2500 0.1804 Rb
0.9430 0.7500 0.8196 Rb
0.4512 0.7500 0.8612 Tl
0.5488 0.2500 0.1388 Tl
0.3811 0.2500 0.5492 In
0.6189 0.7500 0.4508 In
0.2099 0.7500 0.6342 Br
0.2150 0.2500 0.9434 Br
0.3581 0.7500 0.2637 Br
0.6419 0.2500 0.7363 Br
0.7850 0.7500 0.0566 Br
0.7901 0.2500 0.3658 Br
```

Compound: RbTlIn2Br5
Source: the Alexandria database
Functional: PBE
Structure: optimized geometry

## Properties
- formation energy from raw total energies (eV per atom) = -0.9604
- DOS(E_F) (states/eV per cell) = 0.96
- crystal system = tetragonal
- final energy (eV per atom) = -2.8688

POSCAR file:
```
RbTlIn2Br5
1.0
5.8654 0.0000 0.0000
0.0000 5.8654 0.0000
0.0000 0.0000 8.9770
Rb Tl In Br
1 1 2 5
direct
0.0000 0.0000 0.0000 Rb
0.0000 0.0000 0.5000 Tl
0.5000 0.5000 0.3244 In
0.5000 0.5000 0.6756 In
0.0000 0.5000 0.2826 Br
0.0000 0.5000 0.7174 Br
0.5000 0.0000 0.2826 Br
0.5000 0.0000 0.7174 Br
0.5000 0.5000 0.0000 Br
```

Compound: RbTl3In2Br6
Source: the Alexandria database
Functional: PBE
Structure: optimized geometry

## Properties
- formation energy from raw total energies (eV per atom) = -0.9384
- DOS(E_F) (states/eV per cell) = 0.00
- crystal system = monoclinic
- final energy (eV per atom) = -2.9034

POSCAR file:
```
RbTl3In2Br6
1.0
4.1443 -7.1779 0.0000
4.1443 7.1779 0.0000
-2.7639 0.0000 7.8075
Rb Tl In Br
1 3 2 6
direct
0.0000 0.0000 0.0000 Rb
0.1651 0.8349 0.5000 Tl
0.5000 0.5000 0.5000 Tl
0.8349 0.1651 0.5000 Tl
0.3329 0.6671 0.0000 In
0.6671 0.3329 0.0000 In
0.0838 0.4242 0.2512 Br
0.2580 0.2580 0.7519 Br
0.4242 0.0838 0.2512 Br
0.5758 0.9162 0.7488 Br
0.7420 0.7420 0.2481 Br
0.9162 0.5758 0.7488 Br
```

Compound: Rb3Tl2InBr6
Source: the Alexandria database
Functional: PBE
Structure: optimized geometry

## Properties
- formation energy from raw total energies (eV per atom) = -1.2669
- DOS(E_F) (states/eV per cell) = 0.00
- crystal system = monoclinic
- final energy (eV per atom) = -2.9678

POSCAR file:
```
Rb3Tl2InBr6
1.0
10.5895 -2.4373 0.0000
10.5895 2.4373 0.0000
-2.1902 0.0000 9.4472
Rb Tl In Br
3 2 1 6
direct
0.0000 0.0000 0.0000 Rb
0.3331 0.3331 0.6672 Rb
0.6669 0.6669 0.3328 Rb
0.3337 0.3337 0.1677 Tl
0.6663 0.6663 0.8323 Tl
0.0000 0.0000 0.5000 In
0.1643 0.1643 0.5862 Br
0.1682 0.1682 0.0787 Br
0.4987 0.4987 0.2561 Br
0.5013 0.5013 0.7439 Br
0.8318 0.8318 0.9213 Br
0.8357 0.8357 0.4138 Br
```

Repeat the eighth record exactly.
Compound: Rb3Tl2InBr6
Source: the Alexandria database
Functional: PBE
Structure: optimized geometry

## Properties
- formation energy from raw total energies (eV per atom) = -1.2669
- DOS(E_F) (states/eV per cell) = 0.00
- crystal system = monoclinic
- final energy (eV per atom) = -2.9678

POSCAR file:
```
Rb3Tl2InBr6
1.0
10.5895 -2.4373 0.0000
10.5895 2.4373 0.0000
-2.1902 0.0000 9.4472
Rb Tl In Br
3 2 1 6
direct
0.0000 0.0000 0.0000 Rb
0.3331 0.3331 0.6672 Rb
0.6669 0.6669 0.3328 Rb
0.3337 0.3337 0.1677 Tl
0.6663 0.6663 0.8323 Tl
0.0000 0.0000 0.5000 In
0.1643 0.1643 0.5862 Br
0.1682 0.1682 0.0787 Br
0.4987 0.4987 0.2561 Br
0.5013 0.5013 0.7439 Br
0.8318 0.8318 0.9213 Br
0.8357 0.8357 0.4138 Br
```

- Which of these has the lowest formation energy from raw total energies?
  Rb2TiInBr6

- Which of these has the highest formation energy from raw total energies?
  RbTl2In2Br6